! Zr2CuAu (PBE, relaxed); values from VASP
! SG: R-3m
! E: -6.16 eV per atom
&SYSTEM
  ibrav = 0, nat = 4, ntyp = 3
/
ATOMIC_SPECIES
Au 196.97 Au.upf
Cu 63.55 Cu.upf
Zr 91.22 Zr.upf
CELL_PARAMETERS angstrom
8.976 -0.037 -0.022
8.406 3.146 -0.022
8.406 1.504 2.764
ATOMIC_POSITIONS crystal
Au 0.250 0.250 0.250
Cu 0.750 0.750 0.750
Zr 0.005 0.005 0.005
Zr 0.495 0.495 0.495

! PmTlAgGe (PBE, relaxed); values from VASP
! SG: F-43m
! E: -3.82 eV per atom
&SYSTEM
  ibrav = 0, nat = 4, ntyp = 4
/
ATOMIC_SPECIES
Tl 204.38 Tl.upf
Ge 72.64 Ge.upf
Ag 107.87 Ag.upf
Pm 145.00 Pm.upf
CELL_PARAMETERS angstrom
5.104 0.000 0.000
2.552 4.420 0.000
2.552 1.473 4.167
ATOMIC_POSITIONS crystal
Tl 0.000 0.000 0.000
Ge 0.500 0.500 0.500
Ag 0.750 0.750 0.750
Pm 0.250 0.250 0.250

! Th8SiC6 (PBE, relaxed); values from VASP
! ΔE_f (raw): -3 kJ/mol of atoms
! SG: R-3
&SYSTEM
  ibrav = 0, nat = 15, ntyp = 3
/
ATOMIC_SPECIES
Th 232.04 Th.upf
Si 28.09 Si.upf
C 12.01 C.upf
CELL_PARAMETERS angstrom
-0.537 -5.935 3.776
4.028 -3.226 -4.810
5.687 2.012 3.659
ATOMIC_POSITIONS crystal
Th 0.735 0.735 0.735
Th 0.265 0.265 0.265
Th 0.614 0.857 0.287
Th 0.857 0.287 0.614
Th 0.287 0.614 0.857
Th 0.386 0.143 0.713
Th 0.143 0.713 0.386
Th 0.713 0.386 0.143
Si 0.000 0.000 0.000
C 0.607 0.423 0.817
C 0.423 0.817 0.607
C 0.817 0.607 0.423
C 0.393 0.577 0.183
C 0.577 0.183 0.393
C 0.183 0.393 0.577

! KTa2Ag (PBE, relaxed); values from VASP
! Polymorph energy (0 for the lowest one): 467.7 meV per atom
! SG: Pmmm
&SYSTEM
  ibrav = 0, nat = 4, ntyp = 3
/
ATOMIC_SPECIES
Ag 107.87 Ag.upf
K 39.10 K.upf
Ta 180.95 Ta.upf
CELL_PARAMETERS angstrom
-0.485 -2.132 1.867
5.022 -0.583 0.638
-0.111 3.966 4.501
ATOMIC_POSITIONS crystal
Ag 0.500 0.000 0.500
K 0.000 0.500 0.500
Ta 0.000 0.000 0.000
Ta 0.500 0.500 0.000

! ZrNi2Cl (PBE, relaxed); values from VASP
! ΔE_f (raw): 26 kJ/mol of atoms
! Polymorph energy (0 for the lowest one): 597.0 meV per atom
! SG: Fm-3m
&SYSTEM
  ibrav = 0, nat = 4, ntyp = 3
/
ATOMIC_SPECIES
Ni 58.69 Ni.upf
Zr 91.22 Zr.upf
Cl 35.45 Cl.upf
CELL_PARAMETERS angstrom
4.015 1.462 1.287
0.453 4.127 1.637
0.873 0.598 4.336
ATOMIC_POSITIONS crystal
Ni 0.250 0.250 0.250
Ni 0.750 0.750 0.750
Zr 0.500 0.500 0.500
Cl 0.000 0.000 0.000

! Cs3Pa2Se5Cl2 (PBE, relaxed); values from VASP
! ΔE_f (raw): -152 kJ/mol of atoms
! SG: I4/mmm
&SYSTEM
  ibrav = 0, nat = 12, ntyp = 4
/
ATOMIC_SPECIES
Cs 132.91 Cs.upf
Pa 231.04 Pa.upf
Se 78.96 Se.upf
Cl 35.45 Cl.upf
CELL_PARAMETERS angstrom
-2.515 -0.743 -4.931
-2.549 -4.556 1.987
-8.527 10.762 5.890
ATOMIC_POSITIONS crystal
Cs 0.183 0.183 0.367
Cs 0.817 0.817 0.633
Cs 0.000 0.000 0.000
Pa 0.404 0.404 0.808
Pa 0.596 0.596 0.192
Se 0.599 0.099 0.197
Se 0.401 0.901 0.803
Se 0.099 0.599 0.197
Se 0.901 0.401 0.803
Se 0.500 0.500 0.000
Cl 0.692 0.692 0.384
Cl 0.308 0.308 0.616

! Nb3PPb (PBE, relaxed); values from VASP
! Polymorph energy (0 for the lowest one): 0.0 meV per atom
! SG: Pm-3m
&SYSTEM
  ibrav = 0, nat = 5, ntyp = 3
/
ATOMIC_SPECIES
Pb 207.20 Pb.upf
P 30.97 P.upf
Nb 92.91 Nb.upf
CELL_PARAMETERS angstrom
4.684 0.000 0.000
0.000 4.684 0.000
0.000 0.000 4.684
ATOMIC_POSITIONS crystal
Pb 0.500 0.500 0.500
P 0.000 0.000 0.000
Nb 0.000 0.500 0.000
Nb 0.000 0.000 0.500
Nb 0.500 0.000 0.000

! U2Co3Si4Pt (PBE, relaxed); values from VASP
! ΔE_f (raw): -63 kJ/mol of atoms
! SG: P-4m2
&SYSTEM
  ibrav = 0, nat = 10, ntyp = 4
/
ATOMIC_SPECIES
U 238.03 U.upf
Co 58.93 Co.upf
Si 28.09 Si.upf
Pt 195.08 Pt.upf
CELL_PARAMETERS angstrom
-0.213 0.207 3.904
2.925 -2.585 0.296
6.466 7.313 -0.036
ATOMIC_POSITIONS crystal
U 0.500 0.000 0.238
U 0.000 0.500 0.762
Co 0.000 0.000 0.500
Co 0.500 0.000 0.874
Co 0.000 0.500 0.126
Si 0.500 0.500 0.000
Si 0.000 0.000 0.000
Si 0.500 0.000 0.643
Si 0.000 0.500 0.357
Pt 0.500 0.500 0.500

! Ce6CoRu2Br3 (PBE, relaxed); values from VASP
! ΔE_f (raw): -75 kJ/mol of atoms
! SG: C2/m
&SYSTEM
  ibrav = 0, nat = 12, ntyp = 4
/
ATOMIC_SPECIES
Ce 140.12 Ce.upf
Co 58.93 Co.upf
Ru 101.07 Ru.upf
Br 79.90 Br.upf
CELL_PARAMETERS angstrom
-0.844 -6.239 2.874
5.864 1.497 -3.358
1.413 4.181 6.711
ATOMIC_POSITIONS crystal
Ce 0.935 0.608 0.806
Ce 0.737 0.737 0.195
Ce 0.065 0.392 0.194
Ce 0.608 0.935 0.806
Ce 0.263 0.263 0.805
Ce 0.392 0.065 0.194
Co 0.000 0.000 0.000
Ru 0.333 0.667 0.000
Ru 0.667 0.333 0.000
Br 0.168 0.832 0.500
Br 0.832 0.168 0.500
Br 0.500 0.500 0.500

! PaCd2HgO6 (PBE, relaxed); values from VASP
! ΔE_f (raw): -154 kJ/mol of atoms
! SG: C2/c
&SYSTEM
  ibrav = 0, nat = 20, ntyp = 4
/
ATOMIC_SPECIES
Pa 231.04 Pa.upf
Cd 112.41 Cd.upf
Hg 200.59 Hg.upf
O 16.00 O.upf
CELL_PARAMETERS angstrom
-1.541 3.526 -4.168
2.610 -4.919 -5.181
-6.662 -3.614 -0.647
ATOMIC_POSITIONS crystal
Pa 0.250 0.892 0.108
Pa 0.750 0.108 0.892
Cd 0.321 0.867 0.633
Cd 0.179 0.367 0.133
Cd 0.679 0.133 0.367
Cd 0.821 0.633 0.867
Hg 0.250 0.425 0.575
Hg 0.750 0.575 0.425
O 0.073 0.950 0.845
O 0.427 0.155 0.050
O 0.927 0.050 0.155
O 0.573 0.845 0.950
O 0.431 0.888 0.351
O 0.069 0.649 0.112
O 0.569 0.112 0.649
O 0.931 0.351 0.888
O 0.990 0.689 0.588
O 0.510 0.412 0.311
O 0.010 0.311 0.412
O 0.490 0.588 0.689

! NaGeSCl2 (PBE, relaxed); values from VASP
! ΔE_f (raw): 17 kJ/mol of atoms
! Polymorph energy (0 for the lowest one): 898.2 meV per atom
! SG: P4/mmm
&SYSTEM
  ibrav = 0, nat = 5, ntyp = 4
/
ATOMIC_SPECIES
Na 22.99 Na.upf
Ge 72.64 Ge.upf
S 32.06 S.upf
Cl 35.45 Cl.upf
CELL_PARAMETERS angstrom
5.163 0.000 0.000
0.000 5.088 0.000
0.000 0.000 5.163
ATOMIC_POSITIONS crystal
Na 0.000 0.500 0.000
Ge 0.500 0.500 0.500
S 0.000 0.000 0.000
Cl 0.000 0.000 0.500
Cl 0.500 0.000 0.000

! Rb3Ge5Au12 (PBE, relaxed); values from VASP
! SG: Ia-3d
! E: -3.32 eV per atom
&SYSTEM
  ibrav = 0, nat = 80, ntyp = 3
/
ATOMIC_SPECIES
Rb 85.47 Rb.upf
Ge 72.64 Ge.upf
Au 196.97 Au.upf
CELL_PARAMETERS angstrom
-9.217 9.108 6.984
-3.399 -13.928 3.337
13.819 2.823 4.213
ATOMIC_POSITIONS crystal
Rb 0.750 0.375 0.125
Rb 0.875 0.750 0.125
Rb 0.375 0.750 0.625
Rb 0.250 0.125 0.375
Rb 0.875 0.125 0.250
Rb 0.375 0.625 0.250
Rb 0.625 0.375 0.750
Rb 0.125 0.875 0.750
Rb 0.750 0.875 0.625
Rb 0.625 0.250 0.375
Rb 0.125 0.250 0.875
Rb 0.250 0.625 0.875
Ge 0.125 0.375 0.250
Ge 0.000 0.500 0.000
Ge 0.000 0.000 0.000
Ge 0.375 0.250 0.125
Ge 0.500 0.000 0.500
Ge 0.500 0.500 0.000
Ge 0.125 0.750 0.375
Ge 0.750 0.125 0.875
Ge 0.750 0.625 0.375
Ge 0.375 0.125 0.750
Ge 0.625 0.875 0.250
Ge 0.500 0.500 0.500
Ge 0.500 0.000 0.000
Ge 0.000 0.000 0.500
Ge 0.250 0.375 0.625
Ge 0.250 0.875 0.125
Ge 0.000 0.500 0.500
Ge 0.875 0.250 0.625
Ge 0.625 0.750 0.875
Ge 0.875 0.625 0.750
Au 0.656 0.021 0.950
Au 0.294 0.450 0.429
Au 0.050 0.479 0.344
Au 0.450 0.156 0.021
Au 0.636 0.656 0.706
Au 0.050 0.571 0.206
Au 0.294 0.844 0.364
Au 0.071 0.864 0.021
Au 0.571 0.050 0.706
Au 0.656 0.636 0.206
Au 0.844 0.550 0.479
Au 0.794 0.929 0.950
Au 0.021 0.656 0.450
Au 0.479 0.429 0.136
Au 0.136 0.929 0.479
Au 0.364 0.021 0.571
Au 0.136 0.206 0.156
Au 0.550 0.706 0.071
Au 0.794 0.864 0.344
Au 0.021 0.364 0.071
Au 0.479 0.050 0.844
Au 0.571 0.521 0.364
Au 0.929 0.794 0.450
Au 0.844 0.294 0.864
Au 0.429 0.479 0.636
Au 0.071 0.206 0.550
Au 0.156 0.706 0.136
Au 0.206 0.136 0.656
Au 0.521 0.950 0.156
Au 0.979 0.636 0.929
Au 0.450 0.294 0.929
Au 0.636 0.979 0.429
Au 0.864 0.794 0.844
Au 0.864 0.071 0.521
Au 0.979 0.344 0.550
Au 0.206 0.071 0.050
Au 0.521 0.571 0.864
Au 0.429 0.950 0.294
Au 0.344 0.364 0.794
Au 0.156 0.450 0.521
Au 0.929 0.136 0.979
Au 0.706 0.156 0.636
Au 0.550 0.844 0.979
Au 0.950 0.429 0.794
Au 0.364 0.344 0.294
Au 0.950 0.521 0.656
Au 0.706 0.550 0.571
Au 0.344 0.979 0.050